Entry from Alexandria: a relaxed BaZnRu2 crystal (PBEsol).

abc: 3.1122 4.5194 5.1351
angles: 90.00 90.00 90.00
Fractional coordinates of all 4 atoms:
Ba (0.0000, 0.0000, 0.0000)
Zn (0.5000, 0.0000, 0.5000)
Ru (0.0000, 0.5000, 0.5000)
Ru (0.5000, 0.5000, 0.0000)

Properties
calculated total energy: -5.07 eV per atom
SG: Pmmm (47)
calculated volume: 18.06 Å³ per atom
total magnetization: 0.01 Bohr magnetons per cell
N(E_F): 5.107 states/eV/f.u.
E_form: 0.95 eV per atom